The following is a DFT calculation (GGA-PBE) of a relaxed ScTa3As crystal.

Total DFT energy (no corrections) = -7.40 eV/atom
E above lowest polymorph = 1315 meV/atom
Magnetization = 0.00 μB per cell
Calculated volume = 21.62 Å³/atom

abc: 4.7636 4.7636 4.7636
angles: 90.00 90.00 90.00
Last column: nearest neighbours and their distance in Å.
Space group Pm-3m (No. 221)
One atom of each set of equivalent atoms:
Sc  0.0000  0.0000  0.0000 x1  6 Ta 2.38
Ta  0.0000  0.0000  0.5000 x3  2 Sc 2.38
As  0.5000  0.5000  0.5000 x1  12 Ta 3.37